Run one
Computed, not measured: a relaxed structure of CaLaFe at the PBE-GGA level of DFT.

Cell: 4.9225 4.9225 4.9225 Å, 60.00 60.00 60.00°
Last column: nearest neighbours and their distance in Å.
Fractional positions:
Ca  0.0000  0.0000  0.0000  4 Fe 3.01
La  0.5000  0.5000  0.5000  4 Fe 3.01
Fe  0.7500  0.7500  0.7500  4 La 3.01, 4 Ca 3.01

Fermi-level density of states: 2.3623 states/eV per atom

Run two
Computed, not measured: a relaxed structure of CaLaFe at the PBE-GGA level of DFT.

Cell: 4.0794 4.0794 6.0185 Å, 90.00 90.00 120.00°
Last column: nearest neighbours and their distance in Å.
Fractional positions:
Ca  0.0000  0.0000  0.0000  3 Fe 3.08
La  0.3333  0.6667  0.4540  3 Fe 2.47
Fe  0.6667  0.3333  0.3291  3 La 2.47

Fermi-level density of states: 0.8222 states/eV per atom

It comes down to run two, which is 7.1 kJ/mol of atoms more stable than the next structure.

Run one
Computed, not measured: a relaxed structure of CaLaFe3 at the PBE-GGA level of DFT.

Cell: 4.8826 4.8826 4.8826 Å, 90.00 90.00 90.00°
Last column: nearest neighbours and their distance in Å.
Fractional positions:
Ca  0.0000  0.0000  0.0000  12 Fe 3.45
La  0.5000  0.5000  0.5000  6 Fe 2.44
Fe  0.0000  0.5000  0.5000  2 La 2.44
Fe  0.5000  0.0000  0.5000  2 La 2.44
Fe  0.5000  0.5000  0.0000  2 La 2.44

Fermi-level density of states: 2.0715 states/eV per atom

Run two
Computed, not measured: a relaxed structure of CaLaFe3 at the PBE-GGA level of DFT.

Cell: 4.8692 4.8692 4.8692 Å, 90.00 90.00 90.00°
Last column: nearest neighbours and their distance in Å.
Fractional positions:
Ca  0.0000  0.0000  0.0000  6 Fe 2.43
La  0.5000  0.5000  0.5000  12 Fe 3.44
Fe  0.0000  0.0000  0.5000  2 Ca 2.43
Fe  0.0000  0.5000  0.0000  2 Ca 2.43
Fe  0.5000  0.0000  0.0000  2 Ca 2.43

Fermi-level density of states: 1.6775 states/eV per atom

It comes down to run one, which is 8.4 kJ/mol of atoms more stable than the next structure.

Run one
Computed, not measured: a relaxed structure of CaLa2MgFe at the PBE-GGA level of DFT.

Cell: 5.1560 5.1560 5.7968 Å, 90.00 90.00 90.00°
Last column: nearest neighbours and their distance in Å.
Fractional positions:
Ca  0.0000  0.0000  0.0000  2 Fe 2.90
La  0.0000  0.5000  0.5000  2 Fe 2.58
La  0.5000  0.0000  0.5000  2 Fe 2.58
Mg  0.5000  0.5000  0.0000  4 Ca 3.65, 8 La 3.88
Fe  0.0000  0.0000  0.5000  4 La 2.58

Fermi-level density of states: 0.9558 states/eV per atom

Run two
Computed, not measured: a relaxed structure of CaLa2MgFe at the PBE-GGA level of DFT.

Cell: 5.2303 5.2303 5.4681 Å, 90.00 90.00 90.00°
Last column: nearest neighbours and their distance in Å.
Fractional positions:
Ca  0.0000  0.0000  0.0000  4 Mg 3.70, 8 La 3.78
La  0.0000  0.5000  0.5000  2 Fe 2.62
La  0.5000  0.0000  0.5000  2 Fe 2.62
Mg  0.5000  0.5000  0.0000  2 Fe 2.73
Fe  0.5000  0.5000  0.5000  4 La 2.62, 2 Mg 2.73

Fermi-level density of states: 1.0886 states/eV per atom

It comes down to run two, which is 1.4 kJ/mol of atoms more stable than the next structure.